## PrHg3Pt8 (PBE)

Data for PrHg3Pt8 after structural relaxation.

Results
**Size of the total moment**: 0.000 μB per atom
**Formation energy**: -29.3 kJ per mole of atoms
**Fermi-level density of states**: 0.99 states/eV/atom
**V**: 18.8 A^3/atom

abc: 9.4023 9.4023 9.4023
angles: 33.54 33.54 33.54
With the nearest neighbours (Å) after each atom.
Fractional positions:
Pr 0.0000 0.0000 0.0000  12 Pt 3.18-3.21, 4 Hg 3.38-3.40
Hg 0.1270 0.1270 0.1270  12 Pt 3.10-3.21, 3 Hg 3.28, 1 Pr 3.38
Hg 0.4963 0.4963 0.4963  12 Pt 3.10-3.22, 4 Hg 3.22-3.28
Hg 0.6173 0.6173 0.6173  12 Pt 3.09-3.36, 1 Hg 3.22, 3 Pr 3.40
Pt 0.0622 0.0622 0.5595  6 Pt 2.70-2.73
Pt 0.0622 0.5595 0.0622  6 Pt 2.70-2.73
Pt 0.0622 0.5624 0.5624  6 Pt 2.70-2.73
Pt 0.3118 0.3118 0.3118  6 Pt 2.72-2.73
Pt 0.5595 0.0622 0.0622  6 Pt 2.70-2.73
Pt 0.5624 0.0622 0.5624  6 Pt 2.70-2.73
Pt 0.5624 0.5624 0.0622  6 Pt 2.70-2.73
Pt 0.8117 0.8117 0.8117  6 Pt 2.70-2.71